1.
# CsSmZnTe3

CsSmZnTe3 after structural relaxation (PBEsol, the Alexandria database).

As for the energy relative to the elements, uncorrected: -6.44 eV/f.u. The calculation puts the theoretical density at 5.66 g/cm³.

Cell lengths 8.666, 8.666, 11.663 Å; angles 90.00, 90.00, 150.66 degrees
Atoms (fractional coordinates):
Cs  0.246  0.754  0.750
Cs  0.754  0.246  0.250
Sm  0.500  0.500  0.000
Sm  0.500  0.500  0.500
Zn  0.036  0.964  0.250
Zn  0.964  0.036  0.750
Te  0.124  0.876  0.062
Te  0.124  0.876  0.438
Te  0.438  0.562  0.250
Te  0.562  0.438  0.750
Te  0.876  0.124  0.562
Te  0.876  0.124  0.938

---

2.
# CsSn

CsSn after structural relaxation (PBEsol, the Alexandria database).

The energy of formation comes out at -0.3381 eV/atom. The calculation puts the theoretical density at 4.80 g/cm³.

Cell lengths 12.921, 12.921, 12.921 Å; angles 124.98, 124.98, 81.57 degrees
Atoms (fractional coordinates):
Cs  0.006  0.256  0.511
Cs  0.107  0.750  0.857
Cs  0.244  0.494  0.989
Cs  0.250  0.107  0.857
Cs  0.250  0.607  0.357
Cs  0.256  0.244  0.250
Cs  0.393  0.250  0.643
Cs  0.494  0.006  0.250
Cs  0.506  0.994  0.750
Cs  0.607  0.750  0.357
Cs  0.744  0.756  0.750
Cs  0.750  0.393  0.643
Cs  0.750  0.893  0.143
Cs  0.756  0.506  0.011
Cs  0.893  0.250  0.143
Cs  0.994  0.744  0.489
Sn  0.009  0.715  0.082
Sn  0.072  0.991  0.206
Sn  0.133  0.928  0.418
Sn  0.215  0.509  0.582
Sn  0.285  0.867  0.294
Sn  0.367  0.785  0.794
Sn  0.428  0.633  0.918
Sn  0.491  0.572  0.706
Sn  0.509  0.428  0.294
Sn  0.572  0.367  0.082
Sn  0.633  0.215  0.206
Sn  0.715  0.133  0.706
Sn  0.785  0.491  0.418
Sn  0.867  0.072  0.582
Sn  0.928  0.009  0.794
Sn  0.991  0.285  0.918

---

3.
# CsSn3

CsSn3 after structural relaxation (PBEsol, the Alexandria database).

The energy of formation comes out at -0.1824 eV/atom. The calculation puts the theoretical density at 5.53 g/cm³.

Cell lengths 7.920, 7.920, 5.402 Å; angles 90.00, 90.00, 120.00 degrees
Atoms (fractional coordinates):
Cs  0.333  0.667  0.250
Cs  0.667  0.333  0.750
Sn  0.127  0.254  0.750
Sn  0.127  0.873  0.750
Sn  0.254  0.127  0.250
Sn  0.746  0.873  0.750
Sn  0.873  0.127  0.250
Sn  0.873  0.746  0.250

---

4.
# CsTcSn3

CsTcSn3 after structural relaxation (PBEsol, the Alexandria database).

The energy of formation comes out at 2.3838 eV/atom. The calculation puts the theoretical density at 4.87 g/cm³.

Cell lengths 5.850, 5.850, 5.850 Å; angles 90.00, 90.00, 90.00 degrees
Atoms (fractional coordinates):
Cs  0.000  0.000  0.000
Tc  0.500  0.500  0.500
Sn  0.000  0.000  0.500
Sn  0.000  0.500  0.000
Sn  0.500  0.000  0.000